# 1
Compound: Pr3Hg2Ir
Source: the Alexandria database
Functional: PBE
Structure: relaxed

a = 5.2410 Å, b = 8.3747 Å, c = 7.6977 Å
α = 90.00°, β = 90.00°, γ = 71.77°
Last column: nearest neighbours and their distance in Å.
Positions (direct):
1 Pr 0.8252 0.3496 0.7778  3 Ir 3.15-3.26, 5 Hg 3.26-3.51, 1 Pr 3.42
2 Pr 0.5000 0.0000 0.2372  2 Ir 3.01, 6 Hg 3.19-3.33
3 Pr 0.1748 0.6504 0.2222  3 Ir 3.15-3.26, 5 Hg 3.26-3.51, 1 Pr 3.42
4 Pr 0.8252 0.3496 0.2222  3 Ir 3.15-3.26, 5 Hg 3.26-3.51, 1 Pr 3.42
5 Pr 0.1748 0.6504 0.7778  3 Ir 3.15-3.26, 5 Hg 3.26-3.51, 1 Pr 3.42
6 Pr 0.5000 0.0000 0.7628  2 Ir 3.01, 6 Hg 3.19-3.33
7 Hg 0.0000 0.0000 0.0000  8 Pr 3.19-3.26, 4 Ir 3.55
8 Hg 0.0000 0.0000 0.5000  8 Pr 3.31-3.51
9 Hg 0.3336 0.3328 0.5000  8 Pr 3.31-3.39
10 Hg 0.6664 0.6672 0.5000  8 Pr 3.31-3.39
11 Ir 0.3495 0.3011 0.0000  8 Pr 3.01-3.26
12 Ir 0.6505 0.6989 0.0000  8 Pr 3.01-3.26

Values from the calculation:
Space group: Cmmm
Energy of formation from the pure elements: -11.6 kcal/mol of atoms



# 2
Compound: Ba3Cu2O4
Source: the Alexandria database
Functional: PBE
Structure: relaxed

a = 3.9649 Å, b = 7.6035 Å, c = 7.6035 Å
α = 55.28°, β = 74.89°, γ = 74.89°
Last column: nearest neighbours and their distance in Å.
Positions (direct):
1 Ba 0.2944 0.2056 0.2056  6 O 2.69-2.80
2 Ba 0.5000 0.5000 0.5000  4 Cu 3.01, 8 O 3.18
3 Ba 0.7056 0.7944 0.7944  6 O 2.69-2.80
4 Cu 0.0000 0.8204 0.1796  2 O 1.83
5 Cu 0.0000 0.1796 0.8204  2 O 1.83
6 O 0.8636 0.8851 0.3877  1 Cu 1.83
7 O 0.1364 0.6123 0.1149  1 Cu 1.83
8 O 0.1364 0.1149 0.6123  1 Cu 1.83
9 O 0.8636 0.3877 0.8851  1 Cu 1.83

Values from the calculation:
Space group: Immm
Formation energy from raw total energies: -1788 meV per atom



# 3
Compound: La2YRu
Source: the Alexandria database
Functional: PBE
Structure: relaxed

a = 6.3149 Å, b = 6.3149 Å, c = 6.3149 Å
α = 144.91°, β = 127.02°, γ = 65.14°
Last column: nearest neighbours and their distance in Å.
Positions (direct):
1 La 0.9420 0.9420 0.0000  2 Ru 2.79
2 La 0.5580 0.5580 0.0000  2 Ru 2.79
3 Ru 0.7500 0.2500 0.5000  4 La 2.79
4 Y 0.2500 0.7500 0.5000  4 Ru 3.40, 8 La 3.48-3.79, 2 Y 3.81

Values from the calculation:
Space group: Immm
Energy of formation from the pure elements: -3.8 kcal/mol of atoms



# 4
Compound: Dy3In4Ga2
Source: the Alexandria database
Functional: PBE
Structure: relaxed

a = 4.3781 Å, b = 7.5813 Å, c = 7.5813 Å
α = 120.00°, β = 90.00°, γ = 90.00°
Last column: nearest neighbours and their distance in Å.
Positions (direct):
1 Dy 0.5000 0.0000 0.4069  3 In 3.08-3.28, 4 Ga 3.17
2 Dy 0.5000 0.4069 0.0000  3 In 3.08-3.28, 4 Ga 3.17
3 Dy 0.5000 0.5931 0.5931  3 In 3.08-3.28, 4 Ga 3.17
4 In 0.5000 0.0000 0.0000  6 In 3.00, 3 Dy 3.08
5 In 0.0000 0.2702 0.2702  2 Ga 2.80, 2 In 3.00
6 In 0.0000 0.7298 0.0000  2 Ga 2.80, 2 In 3.00
7 In 0.0000 0.0000 0.7298  2 Ga 2.80, 2 In 3.00
8 Ga 0.0000 0.6667 0.3333  3 In 2.80
9 Ga 0.0000 0.3333 0.6667  3 In 2.80

Values from the calculation:
Space group: P-62m
Energy of formation from the pure elements: -9.7 kcal/mol of atoms



| no. | E (hartree per atom) |
| --- | --- |
| 1 | -0.1643 |
| 2 | -0.2037 |
| 3 | -0.2411 |
| 4 | -0.1414 |